1.
Here is a relaxed structure of MgSbSN2 from Alexandria. Energies are from PBE.

The structure in POSCAR format:
```
MgSbSN2
1.0
-2.5489 -1.3891 -2.6819
-0.0796 -3.4771 1.8767
-4.1686 1.7458 3.0576
Sb S Mg N
1 1 1 2
direct
0.0000 0.0000 0.0000
0.0000 0.0000 0.5000
0.5000 0.5000 0.5000
0.0000 0.5000 0.0000
0.5000 0.0000 0.0000
```

Its total energy is -4.60 eV per atom. The density of states at the Fermi level comes out at 0.8 states/eV/f.u. Its raw formation energy is 16.13 kcal/mol of atoms. As for the distance to the lowest polymorph of the same formula: 0.00 eV/f.u. The magnetization is 0.451 μB per cell.



2.
Here is a relaxed structure of Nd2InNi4Ge3 from Alexandria. Energies are from PBE.

The structure in POSCAR format:
```
Nd2InNi4Ge3
1.0
4.1987 0.0000 0.0000
0.0000 4.1987 0.0000
0.0000 0.0000 10.0095
Nd In Ni Ge
2 1 4 3
direct
0.5000 0.0000 0.2381
0.0000 0.5000 0.7619
0.5000 0.5000 0.5000
0.5000 0.5000 0.0000
0.0000 0.0000 0.0000
0.5000 0.0000 0.6438
0.0000 0.5000 0.3562
0.0000 0.0000 0.5000
0.5000 0.0000 0.8794
0.0000 0.5000 0.1206
```

Its total energy is -5.53 eV per atom. The density of states at the Fermi level comes out at 5.1 states/eV/f.u. The calculation puts the formation enthalpy at 0 K at -0.602 eV per atom. The magnetization is 0.000 μB per cell.



3.
Here is a relaxed structure of LiTaTc2Ni from Alexandria. Energies are from PBE.

The structure in POSCAR format:
```
LiTaTc2Ni
1.0
-1.9901 -2.3375 3.5215
4.2105 -0.4649 2.0710
-0.6795 4.0186 2.2835
Ni Li Tc Ta
1 1 2 1
direct
0.5000 0.5000 0.5000
0.0000 0.5000 0.0000
0.0000 0.0000 0.5000
0.5000 0.0000 0.0000
0.0000 0.0000 0.0000
```

Its total energy is -6.27 eV per atom. The density of states at the Fermi level comes out at 6.2 states/eV/f.u. The calculation puts the formation enthalpy at 0 K at 1.790 eV per atom. The magnetization is 3.075 μB per cell.



4.
Here is a relaxed structure of LiTiAl2 from Alexandria. Energies are from PBE.

The structure in POSCAR format:
```
LiTiAl2
1.0
2.8625 0.0000 0.0000
1.4313 2.4790 0.0000
1.4313 0.8263 9.3698
Li Al Ti
1 2 1
direct
0.5000 0.5000 0.5000
0.7488 0.7488 0.7536
0.2512 0.2512 0.2464
0.0000 0.0000 0.0000
```

Its total energy is -4.46 eV per atom. The density of states at the Fermi level comes out at 2.9 states/eV/f.u. The calculation puts the formation enthalpy at 0 K at -0.138 eV per atom. The magnetization is 0.000 μB per cell.



5.
Here is a relaxed structure of PaZnGa2O8 from Alexandria. Energies are from PBE.

The structure in POSCAR format:
```
PaZnGa2O8
1.0
-5.5498 -1.6179 1.2753
1.1806 -1.4398 -5.6194
3.7733 -2.7863 3.6115
Pa Zn Ga O
1 1 2 8
direct
0.2500 0.7500 0.5000
0.0000 0.0000 0.0000
0.7500 0.2500 0.5000
0.5000 0.5000 0.0000
0.3606 0.0581 0.3025
0.3231 0.5225 0.1993
0.3231 0.1238 0.8007
0.7556 0.0581 0.6975
0.8762 0.6769 0.1993
0.9419 0.2444 0.3025
0.9419 0.6394 0.6975
0.4775 0.6769 0.8007
```

Its total energy is -6.35 eV per atom. The density of states at the Fermi level comes out at 8.6 states/eV/f.u. Its raw formation energy is -37.96 kcal/mol of atoms. The magnetization is 2.967 μB per cell.



6.
Here is a relaxed structure of GaFe3H from Alexandria. Energies are from PBE.

The structure in POSCAR format:
```
GaFe3H
1.0
13.0865 0.0000 3.6196
4.1536 1.7994 -1.0124
-4.1536 1.7994 1.0124
H Fe Ga
2 6 2
direct
0.9372 0.9374 0.0626
0.0628 0.0626 0.9374
0.8069 0.3187 0.6813
0.1931 0.6813 0.3187
0.9390 0.4351 0.5649
0.0610 0.5649 0.4351
0.3147 0.8163 0.1837
0.6853 0.1837 0.8163
0.5742 0.0411 0.9589
0.4258 0.9589 0.0411
```

Its total energy is -6.37 eV per atom. The density of states at the Fermi level comes out at 4.1 states/eV/f.u. The magnetization is 13.329 μB per cell.



7.
Here is a relaxed structure of ScTeSN2 from Alexandria. Energies are from PBE.

The structure in POSCAR format:
```
ScTeSN2
1.0
-2.4758 -2.9774 -0.5442
-0.1868 -0.5514 3.8667
-3.9846 3.2634 0.2728
Sc S Te N
1 1 1 2
direct
0.5000 0.5000 0.5000
0.0000 0.0000 0.0000
0.0000 0.0000 0.5000
0.0000 0.5000 0.0000
0.5000 0.0000 0.0000
```

Its total energy is -4.95 eV per atom. The density of states at the Fermi level comes out at 3.3 states/eV/f.u. Its raw formation energy is 25.49 kcal/mol of atoms. As for the distance to the lowest polymorph of the same formula: 2.37 eV/f.u. The magnetization is 0.407 μB per cell.



8.
Here is a relaxed structure of LiCd2Pb from Alexandria. Energies are from PBE.

The structure in POSCAR format:
```
LiCd2Pb
1.0
-2.4284 -4.1375 -1.7271
2.1771 -4.5922 0.4133
-1.8664 -3.4196 3.2897
Pb Li Cd
1 1 2
direct
0.7500 0.7500 0.7500
0.5000 0.5000 0.5000
0.0000 0.0000 0.0000
0.2500 0.2500 0.2500
```

Its total energy is -1.94 eV per atom. The density of states at the Fermi level comes out at 2.4 states/eV/f.u. The calculation puts the formation enthalpy at 0 K at -0.082 eV per atom. The magnetization is 0.000 μB per cell.



9.
Here is a relaxed structure of IrF3 from Alexandria. Energies are from PBE.

The structure in POSCAR format:
```
IrF3
1.0
3.6569 0.0000 0.0000
0.0000 3.6569 0.0000
1.8284 1.8284 7.0867
Ir F
2 6
direct
0.0000 0.0000 0.0000
0.7500 0.2500 0.5000
0.5000 0.5000 0.0000
0.2500 0.7500 0.5000
0.7005 0.1250 0.2500
0.0495 0.6250 0.2500
0.3750 0.2995 0.7500
0.8750 0.9505 0.7500
```

Its total energy is -3.85 eV per atom. The density of states at the Fermi level comes out at 2.7 states/eV/f.u. Its raw formation energy is -5.29 kcal/mol of atoms. The magnetization is 0.002 μB per cell.



10.
Here is a relaxed structure of Cs2KCa from Alexandria. Energies are from PBE.

The structure in POSCAR format:
```
Cs2KCa
1.0
0.0914 -7.5888 -1.0563
1.0260 -4.6876 5.9739
-5.8148 -4.2927 2.5445
Cs Ca K
2 1 1
direct
0.2500 0.2500 0.2500
0.7500 0.7500 0.7500
0.5000 0.5000 0.5000
0.0000 0.0000 0.0000
```

Its total energy is -1.02 eV per atom. The density of states at the Fermi level comes out at 4.6 states/eV/f.u. The calculation puts the formation enthalpy at 0 K at 0.186 eV per atom. As for the distance to the lowest polymorph of the same formula: 0.09 eV/f.u. The magnetization is 0.000 μB per cell.



11.
Here is a relaxed structure of DyHoIrPb from Alexandria. Energies are from PBE.

The structure in POSCAR format:
```
DyHoIrPb
1.0
-4.1030 2.1319 -2.2084
-4.0283 -2.9039 -1.2638
-4.3861 0.4254 2.6150
Pb Ir Ho Dy
1 1 1 1
direct
0.0000 0.0000 0.0000
0.5000 0.5000 0.5000
0.2500 0.2500 0.2500
0.7500 0.7500 0.7500
```

Its total energy is -5.92 eV per atom. The density of states at the Fermi level comes out at 3.7 states/eV/f.u. The calculation puts the formation enthalpy at 0 K at -0.484 eV per atom. As for the distance to the lowest polymorph of the same formula: 0.81 eV/f.u. The magnetization is 0.000 μB per cell.



12.
Here is a relaxed structure of Pa2TlSi from Alexandria. Energies are from PBE.

The structure in POSCAR format:
```
Pa2TlSi
1.0
-1.4486 1.6575 2.5899
-1.9549 -2.7063 0.6386
5.7135 -2.9305 5.0712
Tl Pa Si
1 2 1
direct
0.5000 0.5000 0.5000
0.0000 0.0000 0.7932
0.0000 0.0000 0.2068
0.5000 0.5000 0.0000
```

Its total energy is -6.79 eV per atom. The density of states at the Fermi level comes out at 6.6 states/eV/f.u. Its raw formation energy is -2.17 kcal/mol of atoms. As for the distance to the lowest polymorph of the same formula: 0.00 eV/f.u. The magnetization is 0.005 μB per cell.